# SrFe2SnRu

A relaxed SrFe2SnRu crystal (PBE, the Alexandria database).

Unit cell a=4.563 b=4.563 c=5.600 alpha=90.00 beta=90.00 gamma=90.00
Positions (direct):
1 Sr 0.000 0.000 0.000
2 Fe 0.000 0.500 0.000
3 Fe 0.500 0.000 0.000
4 Sn 0.000 0.000 0.500
5 Ru 0.500 0.500 0.500

Results
ΔE_f ... 2364.3 meV per atom
M_tot ... 6.6 μB per cell

***

# Sr4Sn2O

A relaxed Sr4Sn2O crystal (PBE, the Alexandria database).

Unit cell a=9.226 b=9.226 c=9.226 alpha=147.64 beta=147.64 gamma=46.42
Positions (direct):
1 Sr 0.000 0.500 0.500
2 Sr 0.165 0.165 0.000
3 Sr 0.500 0.000 0.500
4 Sr 0.835 0.835 0.000
5 Sn 0.367 0.367 0.000
6 Sn 0.633 0.633 0.000
7 O 0.000 0.000 0.000

Results
M_tot ... 0.0 μB per cell
Energy relative to the lowest polymorph listed for this composition ... 12 meV/atom

***

Calculated N(E_F) (states/eV/f.u.), listed in the same order as above: 5.63 5.13
Calculated theoretical density (g/cm³), listed in the same order as above: 5.97 4.47